DFT (GGA-PBE) results for a geometry-optimized Co2As2Ir structure.

Results
- ΔE_f (eV per atom) = 0.052
- energy (eV/f.u.) = -32.1
- offset from the most stable computed form (meV per atom) = 0
- magnetic moment (μB per atom) = 0.143
- space group = No. 127
- DOS at the Fermi energy (states/eV/atom) = 0.84

The structure in POSCAR format:
```
Co2As2Ir
1.0
-2.652 6.167 0.367
-0.959 -0.016 -6.654
-2.667 -1.170 0.387
Co Ir As
4 2 4
direct
0.864 0.364 0.500 Co
0.364 0.136 0.500 Co
0.136 0.636 0.500 Co
0.636 0.864 0.500 Co
0.500 0.500 0.000 Ir
0.000 0.000 0.000 Ir
0.844 0.656 0.000 As
0.344 0.844 0.000 As
0.656 0.156 0.000 As
0.156 0.344 0.000 As
```



DFT (GGA-PBE) results for a geometry-optimized Ti2Pd structure.

Results
- ΔE_f (eV per atom) = -0.058
- energy (eV/f.u.) = -21.2
- magnetic moment (μB per atom) = 0.000
- space group = No. 227
- DOS at the Fermi energy (states/eV/atom) = 1.11

The structure in POSCAR format:
```
Ti2Pd
1.0
5.126 0.000 0.000
2.563 4.439 0.000
2.563 1.480 4.185
Pd Ti
2 4
direct
0.000 0.000 0.000 Pd
0.250 0.250 0.250 Pd
0.625 0.125 0.625 Ti
0.125 0.625 0.625 Ti
0.625 0.625 0.125 Ti
0.625 0.625 0.625 Ti
```



What did the first record say?
DFT (GGA-PBE) results for a geometry-optimized Co2As2Ir structure.

Results
- ΔE_f (eV per atom) = 0.052
- energy (eV/f.u.) = -32.1
- offset from the most stable computed form (meV per atom) = 0
- magnetic moment (μB per atom) = 0.143
- space group = No. 127
- DOS at the Fermi energy (states/eV/atom) = 0.84

The structure in POSCAR format:
```
Co2As2Ir
1.0
-2.652 6.167 0.367
-0.959 -0.016 -6.654
-2.667 -1.170 0.387
Co Ir As
4 2 4
direct
0.864 0.364 0.500 Co
0.364 0.136 0.500 Co
0.136 0.636 0.500 Co
0.636 0.864 0.500 Co
0.500 0.500 0.000 Ir
0.000 0.000 0.000 Ir
0.844 0.656 0.000 As
0.344 0.844 0.000 As
0.656 0.156 0.000 As
0.156 0.344 0.000 As
```



ΔE_f of number 1 (Co2As2Ir)? 0.052 eV per atom